VASP calculation (PBE with a Hubbard U) on a relaxed Mn2SiO4 crystal.

Calculated values
The total magnetization comes out at 1.429 μB/atom. As for the crystal system: orthorhombic. Its space-group type is Pnma. The energy above the most stable polymorph in this dataset comes out at 0.000 eV per atom.

a b c (Å): 10.7662 6.3455 4.9540
angles (deg): 90.00 90.00 90.00
Closest atoms and distances in Å follow each position.
Atoms (fractional coordinates):
Mn 0.0000 0.0000 0.0000  6 O 2.20-2.28
Mn 0.0000 0.5000 0.0000  6 O 2.20-2.28
Mn 0.2203 0.2500 0.4886  6 O 2.17-2.34
Mn 0.2797 0.7500 0.9886  6 O 2.17-2.34
Mn 0.5000 0.0000 0.5000  6 O 2.20-2.28
Mn 0.5000 0.5000 0.5000  6 O 2.20-2.28
Mn 0.7203 0.2500 0.0114  6 O 2.17-2.34
Mn 0.7797 0.7500 0.5114  6 O 2.17-2.34
Si 0.0959 0.7500 0.4270  4 O 1.64-1.68
Si 0.4041 0.2500 0.9270  4 O 1.64-1.68
Si 0.5959 0.7500 0.0730  4 O 1.64-1.68
Si 0.9041 0.2500 0.5730  4 O 1.64-1.68
O 0.0465 0.2500 0.7103  1 Si 1.68
O 0.0938 0.7500 0.7579  1 Si 1.64
O 0.1634 0.5419 0.2869  1 Si 1.66
O 0.1634 0.9581 0.2869  1 Si 1.66
O 0.3366 0.0419 0.7869  1 Si 1.66
O 0.3366 0.4581 0.7869  1 Si 1.66
O 0.4062 0.2500 0.2579  1 Si 1.64
O 0.4535 0.7500 0.2103  1 Si 1.68
O 0.5465 0.2500 0.7897  1 Si 1.68
O 0.5938 0.7500 0.7421  1 Si 1.64
O 0.6634 0.5419 0.2131  1 Si 1.66
O 0.6634 0.9581 0.2131  1 Si 1.66
O 0.8366 0.0419 0.7131  1 Si 1.66
O 0.8366 0.4581 0.7131  1 Si 1.66
O 0.9062 0.2500 0.2421  1 Si 1.64
O 0.9535 0.7500 0.2897  1 Si 1.68